Arrangement P

Pr12Sm6Er after structural relaxation, computed with GGA-PBE.

Structure (POSCAR):
```
Pr12Sm6Er
1.0
-2.5744 -1.5050 -8.2693
-8.2945 -1.2049 2.6504
-1.7600 8.5346 -1.1565
Pr Er Sm
12 1 6
direct
0.5663 0.2190 0.4639
0.0173 0.1924 0.3608
0.6392 0.9827 0.8076
0.3608 0.0173 0.1924
0.2190 0.4639 0.5663
0.7810 0.5361 0.4337
0.9827 0.8076 0.6392
0.4639 0.5663 0.2190
0.1924 0.3608 0.0173
0.4337 0.7810 0.5361
0.8076 0.6392 0.9827
0.5361 0.4337 0.7810
0.0000 0.0000 0.0000
0.7396 0.9032 0.2982
0.9032 0.2982 0.7396
0.0968 0.7018 0.2604
0.7018 0.2604 0.0968
0.2604 0.0968 0.7018
0.2982 0.7396 0.9032
```

Properties
Its magnetization is 0.00 μB per formula unit. Its space group is R-3 (148). As for the calculated volume: 679 Å³/cell.


Arrangement Q

Pr12Sm6Er after structural relaxation, computed with GGA-PBE.

Structure (POSCAR):
```
Pr12Sm6Er
1.0
9.4542 -1.7849 -2.6195
-2.9204 9.1673 -2.6195
-1.5798 -1.7849 9.6824
Sm Pr Er
6 12 1
direct
0.5221 0.2725 0.2725
0.7275 0.4779 0.7275
0.2725 0.5221 0.2725
0.2725 0.2725 0.5221
0.7275 0.7275 0.4779
0.4779 0.7275 0.7275
0.0848 0.7264 0.7264
0.8802 0.5000 0.1198
0.8802 0.1198 0.5000
0.5000 0.8802 0.1198
0.1198 0.5000 0.8802
0.9152 0.2736 0.2736
0.1198 0.8802 0.5000
0.2736 0.9152 0.2736
0.5000 0.1198 0.8802
0.7264 0.7264 0.0848
0.2736 0.2736 0.9152
0.7264 0.0848 0.7264
0.0000 0.0000 0.0000
```

Properties
Its magnetization is 0.00 μB per formula unit. Its space group is R-3m (166). As for the calculated volume: 686 Å³/cell.


It is arrangement P that is the most stable of them.


Arrangement P

Pr2Sm3Er3 after structural relaxation, computed with GGA-PBE.

Structure (POSCAR):
```
Pr2Sm3Er3
1.0
-2.4411 -3.5571 -4.6239
4.0931 1.8952 -3.6189
8.6775 -11.1337 3.9840
Pr Sm Er
4 6 6
direct
0.1712 0.2503 0.1243
0.8288 0.7497 0.6243
0.8288 0.7497 0.8757
0.1712 0.2503 0.3757
0.8358 0.7502 0.1245
0.3308 0.7496 0.7500
0.1642 0.2498 0.8755
0.6692 0.2504 0.2500
0.1642 0.2498 0.6245
0.8358 0.7502 0.3755
0.3401 0.7504 0.2500
0.6599 0.2496 0.7500
0.3355 0.7500 0.0002
0.3355 0.7500 0.4998
0.6645 0.2500 0.9998
0.6645 0.2500 0.5002
```

Properties
Its magnetization is 0.00 μB per formula unit. Its space group is Pmmn (59). As for the calculated volume: 536 Å³/cell.


Arrangement Q

Pr2Sm3Er3 after structural relaxation, computed with GGA-PBE.

Structure (POSCAR):
```
Pr2Sm3Er3
1.0
5.6413 0.0000 0.0000
-2.8206 5.9159 0.0000
0.0000 0.0000 16.3806
Pr Sm Er
4 6 6
direct
0.2212 0.4425 0.3709
0.7788 0.5575 0.6291
0.2212 0.4425 0.1291
0.7788 0.5575 0.8709
0.5379 0.0757 0.7500
0.6102 0.2204 0.4443
0.6102 0.2204 0.0557
0.3898 0.7796 0.5557
0.4621 0.9243 0.2500
0.3898 0.7796 0.9443
0.7506 0.5012 0.2500
0.9143 0.8285 0.0820
0.0857 0.1715 0.5820
0.2494 0.4988 0.7500
0.9143 0.8285 0.4180
0.0857 0.1715 0.9180
```

Properties
Its magnetization is 0.00 μB per formula unit. Its space group is Cmcm (63). As for the calculated volume: 547 Å³/cell.


It is arrangement P that is the most stable of them.